Here is a relaxed structure of Mg3HIr from the Alexandria database. Energies are from PBE-GGA.

Lattice parameters (Å, degrees): 3.136 5.547 10.063 75.91 81.33 73.79
Space group P-1 (No. 2)
Asymmetric unit:
Mg1 0.141 0.073 0.135
Mg2 0.141 0.759 0.453
Mg3 0.149 0.443 0.765
H1 0.198 0.168 0.934
Ir1 0.497 0.163 0.337

Summary:
Density of states at the Fermi level   0.32 states/eV/atom
V   81.2 Å³/f.u.
Energy   -3.614 eV per atom